(1)
First-principles (PBE+U) data for crystalline VOF3 at its relaxed geometry, as listed in Alexandria.

Output
Spin magnetization = 0.30 μB per cell
E = -118.49 eV for the cell shown
Volume = 15.24 Å³/atom
Space group = No. 14

a b c (Å): 5.8412 5.4263 9.6156
angles (deg): 90.00 90.00 90.00
Fractional coordinates of all 20 atoms:
1 V 0.1618 0.1089 0.3802
2 V 0.1618 0.3911 0.8802
3 V 0.8382 0.6089 0.1198
4 V 0.8382 0.8911 0.6198
5 O 0.2809 0.1621 0.9531
6 O 0.2809 0.3379 0.4531
7 O 0.7191 0.6621 0.5469
8 O 0.7191 0.8379 0.0469
9 F 0.0392 0.2416 0.2251
10 F 0.0392 0.2584 0.7251
11 F 0.1506 0.6264 0.0364
12 F 0.1506 0.8736 0.5364
13 F 0.3919 0.5564 0.8078
14 F 0.3919 0.9436 0.3078
15 F 0.6081 0.0564 0.6922
16 F 0.6081 0.4436 0.1922
17 F 0.8494 0.1264 0.4636
18 F 0.8494 0.3736 0.9636
19 F 0.9608 0.7416 0.2749
20 F 0.9608 0.7584 0.7749



(2)
First-principles (PBE+U) data for crystalline V4O5F at its relaxed geometry, as listed in Alexandria.

Output
Spin magnetization = 18.00 μB per cell
E = -151.95 eV for the cell shown
Volume = 11.37 Å³/atom
Space group = No. 59

a b c (Å): 6.3395 7.1148 5.0405
angles (deg): 90.00 90.00 90.00
Fractional coordinates of all 20 atoms:
1 V 0.0268 0.2500 0.0211
2 V 0.2500 0.0112 0.5101
3 V 0.2500 0.4888 0.5101
4 V 0.4732 0.2500 0.0211
5 V 0.5268 0.7500 0.9789
6 V 0.7500 0.5112 0.4899
7 V 0.7500 0.9888 0.4899
8 V 0.9732 0.7500 0.9789
9 O 0.0051 0.5465 0.2498
10 O 0.0051 0.9535 0.2498
11 O 0.2500 0.2500 0.2993
12 O 0.4949 0.5465 0.2498
13 O 0.4949 0.9535 0.2498
14 O 0.5051 0.0465 0.7502
15 O 0.5051 0.4535 0.7502
16 O 0.7500 0.7500 0.7007
17 O 0.9949 0.0465 0.7502
18 O 0.9949 0.4535 0.7502
19 F 0.2500 0.7500 0.7293
20 F 0.7500 0.2500 0.2707



(3)
First-principles (PBE+U) data for crystalline V4O3F9 at its relaxed geometry, as listed in Alexandria.

Output
Spin magnetization = 5.00 μB per cell
Excess energy over the best structure of this formula in the dataset = 6.3 meV/atom
Volume = 13.62 Å³/atom
Space group = No. 5

a b c (Å): 5.4127 5.4127 9.1873
angles (deg): 106.25 106.25 58.78
Fractional coordinates of all 16 atoms:
1 V 0.1129 0.1129 0.3793
2 V 0.3400 0.4199 0.1303
3 V 0.5801 0.6600 0.8697
4 V 0.8871 0.8871 0.6207
5 O 0.0538 0.9462 0.5000
6 O 0.1983 0.7743 0.2131
7 O 0.2257 0.8017 0.7869
8 F 0.0162 0.4670 0.9587
9 F 0.0443 0.4680 0.5403
10 F 0.1627 0.3123 0.2462
11 F 0.5320 0.9557 0.4597
12 F 0.5330 0.9838 0.0413
13 F 0.5621 0.4379 0.0000
14 F 0.6877 0.8373 0.7538
15 F 0.6948 0.2997 0.2885
16 F 0.7003 0.3052 0.7115



(4)
First-principles (PBE+U) data for crystalline V2O3F at its relaxed geometry, as listed in Alexandria.

Output
Spin magnetization = 12.00 μB per cell
Excess energy over the best structure of this formula in the dataset = 42.0 meV/atom
Volume = 11.04 Å³/atom
Space group = No. 12

a b c (Å): 9.8802 9.8802 4.6911
angles (deg): 92.70 92.70 35.41
Fractional coordinates of all 24 atoms:
1 V 0.0000 0.0000 0.0000
2 V 0.1168 0.6342 0.4859
3 V 0.2624 0.2624 0.9507
4 V 0.3658 0.8832 0.5141
5 V 0.5000 0.5000 0.0000
6 V 0.6342 0.1168 0.4859
7 V 0.7376 0.7376 0.0493
8 V 0.8832 0.3658 0.5141
9 O 0.0476 0.5479 0.1895
10 O 0.0750 0.0750 0.7012
11 O 0.2038 0.7012 0.8052
12 O 0.2988 0.7962 0.1948
13 O 0.3283 0.3283 0.6903
14 O 0.4521 0.9524 0.8105
15 O 0.5479 0.0476 0.1895
16 O 0.6717 0.6717 0.3097
17 O 0.7012 0.2038 0.8052
18 O 0.7962 0.2988 0.1948
19 O 0.9250 0.9250 0.2988
20 O 0.9524 0.4521 0.8105
21 F 0.1764 0.1764 0.3013
22 F 0.4256 0.4256 0.2902
23 F 0.5744 0.5744 0.7098
24 F 0.8236 0.8236 0.6987



(5)
First-principles (PBE+U) data for crystalline V2O3F at its relaxed geometry, as listed in Alexandria.

Output
Spin magnetization = 9.00 μB per cell
Excess energy over the best structure of this formula in the dataset = 2.7 meV/atom
Volume = 11.07 Å³/atom
Space group = No. 5

a b c (Å): 5.5823 5.5823 7.0919
angles (deg): 106.78 106.78 75.65
Fractional coordinates of all 18 atoms:
1 V 0.0000 0.0000 0.0000
2 V 0.3331 0.3334 0.3330
3 V 0.3760 0.2899 0.8326
4 V 0.6666 0.6669 0.6670
5 V 0.7101 0.6240 0.1674
6 V 0.9576 0.0424 0.5000
7 O 0.1062 0.0977 0.7943
8 O 0.2310 0.2301 0.5381
9 O 0.4382 0.4332 0.1282
10 O 0.5668 0.5618 0.8718
11 O 0.6393 0.0289 0.8329
12 O 0.6959 0.3041 0.5000
13 O 0.7699 0.7690 0.4619
14 O 0.9023 0.8938 0.2057
15 O 0.9711 0.3607 0.1671
16 F 0.0370 0.6284 0.8344
17 F 0.2979 0.7021 0.5000
18 F 0.3716 0.9630 0.1656



(6)
First-principles (PBE+U) data for crystalline V2O3F at its relaxed geometry, as listed in Alexandria.

Output
Spin magnetization = 12.00 μB per cell
Excess energy over the best structure of this formula in the dataset = 77.2 meV/atom
Volume = 10.91 Å³/atom
Space group = No. 63

a b c (Å): 7.3571 7.3571 6.4085
angles (deg): 90.00 90.00 130.99
Fractional coordinates of all 24 atoms:
1 V 0.1132 0.8868 0.7500
2 V 0.1270 0.3837 0.7500
3 V 0.3737 0.6263 0.2500
4 V 0.3837 0.1270 0.2500
5 V 0.6163 0.8730 0.7500
6 V 0.6263 0.3737 0.7500
7 V 0.8730 0.6163 0.2500
8 V 0.8868 0.1132 0.2500
9 O 0.0265 0.9735 0.2500
10 O 0.1265 0.3746 0.0515
11 O 0.1265 0.3746 0.4485
12 O 0.2768 0.7232 0.7500
13 O 0.3746 0.1265 0.5515
14 O 0.3746 0.1265 0.9485
15 O 0.6254 0.8735 0.0515
16 O 0.6254 0.8735 0.4485
17 O 0.7232 0.2768 0.2500
18 O 0.8735 0.6254 0.5515
19 O 0.8735 0.6254 0.9485
20 O 0.9735 0.0265 0.7500
21 F 0.2242 0.7758 0.2500
22 F 0.4742 0.5258 0.7500
23 F 0.5258 0.4742 0.2500
24 F 0.7758 0.2242 0.7500



(7)
First-principles (PBE+U) data for crystalline VOF3 at its relaxed geometry, as listed in Alexandria.

Output
Spin magnetization = 0.00 μB per cell
E = -118.15 eV for the cell shown
Volume = 15.23 Å³/atom
Space group = No. 1

a b c (Å): 5.8983 7.6669 7.6713
angles (deg): 73.62 71.05 71.26
Fractional coordinates of all 20 atoms:
1 V 0.0000 0.0000 0.0000
2 V 0.1819 0.2599 0.2373
3 V 0.5409 0.4931 0.4916
4 V 0.7768 0.7553 0.7392
5 O 0.0634 0.1797 0.1167
6 O 0.0638 0.6814 0.6374
7 O 0.2829 0.8927 0.9219
8 O 0.8285 0.3833 0.4053
9 F 0.1618 0.4992 0.1324
10 F 0.1849 0.0947 0.4499
11 F 0.3710 0.3795 0.4233
12 F 0.4515 0.3902 0.7321
13 F 0.4705 0.7043 0.3292
14 F 0.5029 0.1812 0.1339
15 F 0.6285 0.6715 0.6050
16 F 0.6742 0.9912 0.6257
17 F 0.7009 0.5811 0.9407
18 F 0.8308 0.8715 0.9218
19 F 0.8945 0.8857 0.2355
20 F 0.9256 0.2001 0.8251



(8)
First-principles (PBE+U) data for crystalline V3O5F at its relaxed geometry, as listed in Alexandria.

Output
Spin magnetization = 8.00 μB per cell
Excess energy over the best structure of this formula in the dataset = 34.9 meV/atom
Volume = 10.74 Å³/atom
Space group = No. 8

a b c (Å): 5.5307 5.5307 7.3148
angles (deg): 109.61 109.61 71.65
Fractional coordinates of all 18 atoms:
1 V 0.0000 0.0000 0.0000
2 V 0.0054 0.0054 0.5222
3 V 0.3336 0.3336 0.8539
4 V 0.3519 0.3519 0.3265
5 V 0.6682 0.6682 0.1647
6 V 0.6863 0.6863 0.6787
7 O 0.0462 0.6390 0.3416
8 O 0.2379 0.2379 0.0467
9 O 0.3110 0.7129 0.0169
10 O 0.3664 0.9657 0.6673
11 O 0.5761 0.5761 0.3804
12 O 0.6390 0.0462 0.3416
13 O 0.7129 0.3110 0.0169
14 O 0.7615 0.7615 0.9622
15 O 0.9026 0.9026 0.6998
16 O 0.9657 0.3664 0.6673
17 F 0.1106 0.1106 0.3122
18 F 0.4427 0.4427 0.6421



(9)
First-principles (PBE+U) data for crystalline VOF3 at its relaxed geometry, as listed in Alexandria.

Output
Spin magnetization = 0.00 μB per cell
E = -118.09 eV for the cell shown
Volume = 13.46 Å³/atom
Space group = No. 76

a b c (Å): 5.3935 5.3935 9.2539
angles (deg): 90.00 90.00 90.00
Fractional coordinates of all 20 atoms:
1 V 0.0578 0.6162 0.0000
2 V 0.3838 0.0578 0.2500
3 V 0.6162 0.9422 0.7500
4 V 0.9422 0.3838 0.5000
5 O 0.1993 0.4338 0.5773
6 O 0.4338 0.8007 0.3273
7 O 0.5662 0.1993 0.8273
8 O 0.8007 0.5662 0.0773
9 F 0.0671 0.3816 0.8669
10 F 0.0726 0.1583 0.3471
11 F 0.1583 0.9274 0.0971
12 F 0.2695 0.4511 0.1182
13 F 0.3816 0.9329 0.6169
14 F 0.4511 0.7305 0.8682
15 F 0.5489 0.2695 0.3682
16 F 0.6184 0.0671 0.1169
17 F 0.7305 0.5489 0.6182
18 F 0.8417 0.0726 0.5971
19 F 0.9274 0.8417 0.8471
20 F 0.9329 0.6184 0.3669



(10)
First-principles (PBE+U) data for crystalline V2O3F at its relaxed geometry, as listed in Alexandria.

Output
Spin magnetization = 12.00 μB per cell
Excess energy over the best structure of this formula in the dataset = 37.7 meV/atom
Volume = 10.86 Å³/atom
Space group = No. 14

a b c (Å): 5.5300 4.5901 10.3616
angles (deg): 90.00 97.85 90.00
Fractional coordinates of all 24 atoms:
1 V 0.0000 0.0000 0.0000
2 V 0.0000 0.5000 0.5000
3 V 0.2463 0.0201 0.7382
4 V 0.2463 0.4799 0.2382
5 V 0.5000 0.0000 0.5000
6 V 0.5000 0.5000 0.0000
7 V 0.7537 0.5201 0.7618
8 V 0.7537 0.9799 0.2618
9 O 0.0265 0.7040 0.6795
10 O 0.0265 0.7960 0.1795
11 O 0.2250 0.1917 0.5728
12 O 0.2250 0.3083 0.0728
13 O 0.4721 0.2066 0.3253
14 O 0.4721 0.2934 0.8253
15 O 0.5279 0.7066 0.1747
16 O 0.5279 0.7934 0.6747
17 O 0.7750 0.6917 0.9272
18 O 0.7750 0.8083 0.4272
19 O 0.9735 0.2040 0.8205
20 O 0.9735 0.2960 0.3205
21 F 0.2761 0.6915 0.4196
22 F 0.2761 0.8085 0.9196
23 F 0.7239 0.1915 0.0804
24 F 0.7239 0.3085 0.5804



(11)
First-principles (PBE+U) data for crystalline V3O5F at its relaxed geometry, as listed in Alexandria.

Output
Spin magnetization = 8.00 μB per cell
Excess energy over the best structure of this formula in the dataset = 25.7 meV/atom
Volume = 10.72 Å³/atom
Space group = No. 2

a b c (Å): 4.5769 5.4942 7.6860
angles (deg): 87.39 89.22 88.53
Fractional coordinates of all 18 atoms:
1 V 0.0000 0.0000 0.0000
2 V 0.0110 0.3416 0.6718
3 V 0.4806 0.8338 0.6497
4 V 0.5000 0.5000 0.0000
5 V 0.5194 0.1662 0.3503
6 V 0.9890 0.6584 0.3282
7 O 0.1875 0.6996 0.1038
8 O 0.2018 0.3704 0.4293
9 O 0.2091 0.0283 0.7648
10 O 0.2977 0.8717 0.4323
11 O 0.2988 0.5312 0.7623
12 O 0.7012 0.4688 0.2377
13 O 0.7023 0.1283 0.5677
14 O 0.7909 0.9717 0.2352
15 O 0.7982 0.6296 0.5707
16 O 0.8125 0.3004 0.8962
17 F 0.3078 0.1959 0.1064
18 F 0.6922 0.8041 0.8936



(12)
First-principles (PBE+U) data for crystalline V3O2F6 at its relaxed geometry, as listed in Alexandria.

Output
Spin magnetization = 10.00 μB per cell
Excess energy over the best structure of this formula in the dataset = 0.0 meV/atom
Volume = 12.36 Å³/atom
Space group = No. 2

a b c (Å): 4.7541 5.5311 10.4100
angles (deg): 83.57 89.60 89.98
Fractional coordinates of all 22 atoms:
1 V 0.0000 0.0000 0.0000
2 V 0.0147 0.7595 0.7429
3 V 0.4766 0.7749 0.2465
4 V 0.5000 0.0000 0.5000
5 V 0.5234 0.2251 0.7535
6 V 0.9853 0.2405 0.2571
7 O 0.2022 0.9653 0.1774
8 O 0.3152 0.9813 0.6761
9 O 0.6848 0.0187 0.3239
10 O 0.7978 0.0347 0.8226
11 F 0.1642 0.7251 0.9234
12 F 0.1872 0.2018 0.4239
13 F 0.2356 0.4698 0.6971
14 F 0.2829 0.4774 0.1933
15 F 0.3098 0.1966 0.9194
16 F 0.3207 0.7188 0.4188
17 F 0.6793 0.2812 0.5812
18 F 0.6902 0.8034 0.0806
19 F 0.7171 0.5226 0.8067
20 F 0.7644 0.5302 0.3029
21 F 0.8128 0.7982 0.5761
22 F 0.8358 0.2749 0.0766